[1]
A relaxed structure of Fe3NiS, computed with PBE-GGA.

Summary:
- Raw formation energy: 963 meV/atom
- VASP energy: -30.48 eV per formula unit
- SG: No. 221

a = 4.354 Å, b = 4.354 Å, c = 4.354 Å
α = 90.00°, β = 90.00°, γ = 90.00°
Positions (direct):
Ni (0.000, 0.000, 0.000)
Fe (0.500, 0.000, 0.000)
Fe (0.000, 0.500, 0.000)
Fe (0.000, 0.000, 0.500)
S (0.500, 0.500, 0.500)


[2]
A relaxed structure of FeNiS, computed with PBE-GGA.

Summary:
- Raw formation energy: -32 meV/atom
- VASP energy: -18.47 eV per formula unit
- SG: No. 156

a = 6.177 Å, b = 6.177 Å, c = 4.790 Å
α = 49.85°, β = 49.85°, γ = 60.00°
Positions (direct):
Fe (0.421, 0.088, 0.737)
Fe (0.088, 0.754, 0.737)
Fe (0.754, 0.421, 0.737)
Ni (0.254, 0.588, 0.237)
Ni (0.921, 0.254, 0.237)
Ni (0.588, 0.921, 0.237)
S (0.708, 0.708, 0.877)
S (0.374, 0.374, 0.877)
S (0.041, 0.041, 0.877)


[3]
A relaxed structure of Fe2NiS, computed with PBE-GGA.

Summary:
- Raw formation energy: 238 meV/atom
- VASP energy: -25.88 eV per formula unit
- SG: No. 122

a = 3.422 Å, b = 3.422 Å, c = 8.937 Å
α = 78.96°, β = 78.96°, γ = 90.00°
Positions (direct):
Fe (0.616, 0.125, 0.250)
Fe (0.375, 0.384, 0.750)
Fe (0.875, 0.866, 0.750)
Fe (0.134, 0.625, 0.250)
Ni (0.000, 0.000, 0.000)
Ni (0.750, 0.250, 0.500)
S (0.500, 0.500, 0.000)
S (0.250, 0.750, 0.500)


[4]
A relaxed structure of FeNi2S, computed with PBE-GGA.

Summary:
- Raw formation energy: 213 meV/atom
- VASP energy: -23.30 eV per formula unit
- SG: No. 122

a = 6.506 Å, b = 6.506 Å, c = 5.116 Å
α = 50.52°, β = 50.52°, γ = 90.00°
Positions (direct):
Ni (0.579, 0.125, 0.250)
Ni (0.171, 0.625, 0.250)
Ni (0.875, 0.829, 0.750)
Ni (0.375, 0.421, 0.750)
S (0.500, 0.500, 0.000)
S (0.250, 0.750, 0.500)
Fe (0.750, 0.250, 0.500)
Fe (0.000, 0.000, 0.000)


[5]
A relaxed structure of FeNi35S32, computed with PBE-GGA.

Summary:
- Raw formation energy: -376 meV/atom
- VASP energy: -368.43 eV per formula unit
- SG: No. 23

a = 11.852 Å, b = 11.852 Å, c = 11.852 Å
α = 134.06°, β = 123.90°, γ = 75.34°
Positions (direct):
S (0.790, 0.058, 0.966)
S (0.935, 0.955, 0.250)
S (0.565, 0.814, 0.018)
S (0.820, 0.559, 0.512)
S (0.711, 0.677, 0.270)
S (0.570, 0.312, 0.497)
S (0.685, 0.187, 0.258)
S (0.295, 0.045, 0.980)
S (0.815, 0.073, 0.503)
S (0.796, 0.547, 0.982)
S (0.435, 0.453, 0.249)
S (0.180, 0.692, 0.739)
S (0.593, 0.323, 0.035)
S (0.953, 0.441, 0.261)
S (0.548, 0.799, 0.483)
S (0.705, 0.685, 0.750)
S (0.430, 0.927, 0.742)
S (0.407, 0.442, 0.730)
S (0.684, 0.201, 0.749)
S (0.210, 0.176, 0.268)
S (0.289, 0.558, 0.965)
S (0.929, 0.427, 0.742)
S (0.071, 0.813, 0.498)
S (0.452, 0.936, 0.251)
S (0.315, 0.573, 0.502)
S (0.316, 0.064, 0.517)
S (0.047, 0.308, 0.488)
S (0.092, 0.824, 0.034)
S (0.908, 0.942, 0.732)
S (0.204, 0.186, 0.751)
S (0.185, 0.688, 0.258)
S (0.065, 0.315, 0.020)
Ni (0.115, 0.616, 0.000)
Ni (0.500, 0.276, 0.776)
Ni (0.250, 0.250, 0.000)
Ni (0.271, 0.812, 0.708)
Ni (0.772, 0.313, 0.710)
Ni (0.500, 0.724, 0.224)
Ni (0.624, 0.567, 0.314)
Ni (0.729, 0.437, 0.540)
Ni (0.986, 0.751, 0.236)
Ni (0.892, 0.892, 0.000)
Ni (0.000, 0.772, 0.772)
Ni (0.500, 0.000, 0.500)
Ni (0.000, 0.228, 0.228)
Ni (0.228, 0.938, 0.541)
Ni (0.253, 0.310, 0.686)
Ni (0.603, 0.062, 0.290)
Ni (0.750, 0.750, 0.000)
Ni (0.376, 0.690, 0.943)
Ni (0.104, 0.563, 0.292)
Ni (0.397, 0.687, 0.459)
Ni (0.616, 0.115, 0.000)
Ni (0.392, 0.392, 0.000)
Ni (0.246, 0.934, 0.057)
Ni (0.384, 0.384, 0.499)
Ni (0.124, 0.066, 0.313)
Ni (0.747, 0.433, 0.057)
Ni (0.754, 0.811, 0.687)
Ni (0.108, 0.108, 0.000)
Ni (0.608, 0.608, 0.000)
Ni (0.885, 0.885, 0.501)
Ni (0.485, 0.249, 0.235)
Ni (0.876, 0.189, 0.943)
Ni (0.896, 0.188, 0.460)
Ni (0.515, 0.750, 0.764)
Ni (0.014, 0.250, 0.765)
Fe (0.000, 0.500, 0.500)


[6]
A relaxed structure of FeNiS4, computed with PBE-GGA.

Summary:
- Raw formation energy: -346 meV/atom
- VASP energy: -32.83 eV per formula unit
- SG: No. 14

a = 5.514 Å, b = 5.523 Å, c = 5.508 Å
α = 90.37°, β = 90.00°, γ = 90.00°
Positions (direct):
S (0.119, 0.603, 0.120)
S (0.381, 0.603, 0.620)
S (0.393, 0.119, 0.894)
S (0.881, 0.397, 0.880)
S (0.619, 0.397, 0.380)
S (0.107, 0.119, 0.394)
S (0.893, 0.881, 0.606)
S (0.607, 0.881, 0.106)
Fe (0.500, 0.500, 0.000)
Fe (0.000, 0.500, 0.500)
Ni (0.000, 0.000, 0.000)
Ni (0.500, 0.000, 0.500)


[7]
A relaxed structure of FeTc2NiS, computed with PBE-GGA.

Summary:
- Raw formation energy: 579 meV/atom
- VASP energy: -36.21 eV per formula unit
- SG: No. 123

a = 4.360 Å, b = 4.026 Å, c = 4.360 Å
α = 90.00°, β = 90.00°, γ = 90.00°
Positions (direct):
Ni (0.000, 0.500, 0.000)
Tc (0.500, 0.000, 0.000)
Tc (0.000, 0.000, 0.500)
Fe (0.500, 0.500, 0.500)
S (0.000, 0.000, 0.000)


[8]
A relaxed structure of Fe4NiSb, computed with PBE-GGA.

Summary:
- Raw formation energy: 198 meV/atom
- VASP energy: -42.56 eV per formula unit
- SG: No. 216

a = 4.821 Å, b = 4.821 Å, c = 4.821 Å
α = 60.00°, β = 60.00°, γ = 60.00°
Positions (direct):
Fe (0.375, 0.375, 0.375)
Fe (0.375, 0.874, 0.375)
Fe (0.874, 0.375, 0.375)
Fe (0.375, 0.375, 0.874)
Ni (0.750, 0.750, 0.750)
Sb (0.000, 0.000, 0.000)


[9]
A relaxed structure of FeNi2Sb, computed with PBE-GGA.

Summary:
- Raw formation energy: 315 meV/atom
- VASP energy: -22.89 eV per formula unit
- SG: No. 166

a = 7.463 Å, b = 7.463 Å, c = 7.463 Å
α = 24.00°, β = 24.00°, γ = 24.00°
Positions (direct):
Fe (0.750, 0.750, 0.750)
Sb (0.250, 0.250, 0.250)
Ni (0.007, 0.007, 0.007)
Ni (0.493, 0.493, 0.493)


[10]
A relaxed structure of Fe2Ni2Sb, computed with PBE-GGA.

Summary:
- Raw formation energy: 250 meV/atom
- VASP energy: -31.36 eV per formula unit
- SG: No. 127

a = 6.949 Å, b = 6.949 Å, c = 2.906 Å
α = 90.00°, β = 90.00°, γ = 90.00°
Positions (direct):
Ni (0.141, 0.641, 0.500)
Ni (0.859, 0.359, 0.500)
Ni (0.359, 0.141, 0.500)
Ni (0.641, 0.859, 0.500)
Fe (0.645, 0.145, 0.000)
Fe (0.855, 0.645, 0.000)
Fe (0.145, 0.355, 0.000)
Fe (0.355, 0.855, 0.000)
Sb (0.500, 0.500, 0.000)
Sb (0.000, 0.000, 0.000)


[11]
A relaxed structure of Fe2NiSb8, computed with PBE-GGA.

Summary:
- Raw formation energy: 132 meV/atom
- VASP energy: -54.24 eV per formula unit
- SG: No. 12

a = 4.802 Å, b = 8.076 Å, c = 8.076 Å
α = 60.97°, β = 87.76°, γ = 87.76°
Positions (direct):
Ni (0.000, 0.000, 0.000)
Sb (0.200, 0.350, 0.350)
Sb (0.251, 0.820, 0.330)
Sb (0.749, 0.670, 0.180)
Sb (0.800, 0.650, 0.650)
Sb (0.270, 0.833, 0.833)
Sb (0.749, 0.180, 0.670)
Sb (0.730, 0.167, 0.167)
Sb (0.251, 0.330, 0.820)
Fe (0.232, 0.173, 0.173)
Fe (0.768, 0.827, 0.827)


[12]
A relaxed structure of FeNiSb2, computed with PBE-GGA.

Summary:
- Raw formation energy: 204 meV/atom
- VASP energy: -21.67 eV per formula unit
- SG: No. 12

a = 4.267 Å, b = 4.267 Å, c = 5.639 Å
α = 76.75°, β = 76.75°, γ = 45.81°
Positions (direct):
Fe (0.750, 0.750, 0.750)
Sb (0.500, 0.500, 0.502)
Sb (0.000, 0.000, 0.998)
Ni (0.250, 0.250, 0.250)


[13]
A relaxed structure of FeNiSb2, computed with PBE-GGA.

Summary:
- Raw formation energy: 169 meV/atom
- VASP energy: -21.81 eV per formula unit
- SG: No. 44

a = 6.780 Å, b = 6.780 Å, c = 6.780 Å
α = 149.36°, β = 153.15°, γ = 41.19°
Positions (direct):
Fe (0.462, 0.462, 0.000)
Sb (0.796, 0.296, 0.500)
Sb (0.045, 0.045, 0.000)
Ni (0.197, 0.697, 0.500)


[14]
A relaxed structure of FeNiSb2, computed with PBE-GGA.

Summary:
- Raw formation energy: 342 meV/atom
- VASP energy: -21.12 eV per formula unit
- SG: No. 119

a = 5.589 Å, b = 5.589 Å, c = 5.589 Å
α = 139.90°, β = 139.90°, γ = 58.00°
Positions (direct):
Sb (0.000, 0.000, 0.000)
Sb (0.250, 0.750, 0.500)
Fe (0.500, 0.500, 0.000)
Ni (0.750, 0.250, 0.500)


[15]
A relaxed structure of FeNiSb2, computed with PBE-GGA.

Summary:
- Raw formation energy: 11 meV/atom
- VASP energy: -22.44 eV per formula unit
- SG: No. 38

a = 5.211 Å, b = 5.211 Å, c = 3.952 Å
α = 89.98°, β = 89.98°, γ = 40.33°
Positions (direct):
Fe (0.451, 0.451, 0.625)
Ni (0.293, 0.293, 0.125)
Sb (0.736, 0.736, 0.625)
Sb (0.020, 0.020, 0.125)


[16]
A relaxed structure of Fe2Ni2Sb7, computed with PBE-GGA.

Summary:
- Raw formation energy: 120 meV/atom
- VASP energy: -56.03 eV per formula unit
- SG: No. 12

a = 5.620 Å, b = 7.284 Å, c = 7.284 Å
α = 52.71°, β = 88.61°, γ = 88.62°
Positions (direct):
Sb (0.691, 0.072, 0.576)
Sb (0.795, 0.572, 0.572)
Sb (0.309, 0.928, 0.424)
Sb (0.309, 0.424, 0.928)
Sb (0.691, 0.576, 0.072)
Sb (0.205, 0.428, 0.428)
Sb (0.000, 0.000, 0.000)
Ni (0.500, 0.773, 0.227)
Ni (0.500, 0.227, 0.773)
Fe (0.005, 0.254, 0.254)
Fe (0.995, 0.746, 0.746)


[17]
A relaxed structure of FeNiSb2, computed with PBE-GGA.

Summary:
- Raw formation energy: 636 meV/atom
- VASP energy: -19.95 eV per formula unit
- SG: No. 216

a = 4.767 Å, b = 4.767 Å, c = 4.767 Å
α = 60.00°, β = 60.00°, γ = 60.00°
Positions (direct):
Sb (0.000, 0.000, 0.000)
Sb (0.250, 0.250, 0.250)
Fe (0.500, 0.500, 0.500)
Ni (0.750, 0.750, 0.750)


[18]
A relaxed structure of Fe2NiSb8, computed with PBE-GGA.

Summary:
- Raw formation energy: 165 meV/atom
- VASP energy: -53.87 eV per formula unit
- SG: No. 12

a = 4.845 Å, b = 8.105 Å, c = 8.117 Å
α = 120.05°, β = 90.00°, γ = 89.99°
Positions (direct):
Sb (0.743, 0.332, 0.666)
Sb (0.709, 0.843, 0.156)
Sb (0.291, 0.687, 0.843)
Sb (0.257, 0.668, 0.334)
Sb (0.709, 0.843, 0.687)
Sb (0.291, 0.157, 0.844)
Sb (0.291, 0.157, 0.313)
Sb (0.709, 0.313, 0.157)
Fe (0.236, 0.333, 0.666)
Fe (0.764, 0.667, 0.334)
Ni (0.000, 0.000, 0.000)


[19]
A relaxed structure of FeNiSb2, computed with PBE-GGA.

Summary:
- Raw formation energy: 179 meV/atom
- VASP energy: -21.77 eV per formula unit
- SG: No. 166

a = 7.729 Å, b = 7.729 Å, c = 7.729 Å
α = 24.72°, β = 24.72°, γ = 24.72°
Positions (direct):
Fe (0.250, 0.250, 0.250)
Ni (0.750, 0.750, 0.750)
Sb (0.001, 0.001, 0.001)
Sb (0.499, 0.499, 0.499)


[20]
A relaxed structure of Fe4NiSb2, computed with PBE-GGA.

Summary:
- Raw formation energy: 595 meV/atom
- VASP energy: -43.71 eV per formula unit
- SG: No. 139

a = 4.340 Å, b = 4.340 Å, c = 7.289 Å
α = 72.68°, β = 72.68°, γ = 90.00°
Positions (direct):
Sb (0.634, 0.634, 0.732)
Sb (0.366, 0.366, 0.268)
Fe (0.169, 0.169, 0.662)
Fe (0.831, 0.831, 0.338)
Fe (0.500, 0.000, 0.000)
Fe (0.000, 0.500, 0.000)
Ni (0.000, 0.000, 0.000)